## Li2NdSm2Sn2 (PBE-GGA)

Data for a relaxed structure of Li2NdSm2Sn2.

Cell: 4.835 4.835 9.576 Å, 75.38 75.38 60.00°
Element x y z (fractional)
Li  0.595  0.595  0.215
Li  0.405  0.405  0.785
Sm  0.130  0.130  0.611
Sm  0.870  0.870  0.389
Sn  0.738  0.738  0.787
Sn  0.262  0.262  0.213
Nd  0.000  0.000  0.000

## Properties
**Theoretical density**: 6.233 Mg/m³
**SG**: R-3m, No. 166
**Magnetic moment**: 0.0000 μB per atom
**Calculated formation energy**: -0.4748 eV per atom